# 1
Computed, not measured: Hf6Pb3C after structural relaxation at the PBE level of DFT.

Cell: 5.884 7.776 11.291 Å, 90.00 120.77 90.00°
Fractional coordinates of all 20 atoms:
Hf1 0.054 0.239 0.443
Hf2 0.054 0.261 0.943
Hf3 0.306 0.638 0.453
Hf4 0.306 0.862 0.953
Hf5 0.351 0.042 0.210
Hf6 0.351 0.458 0.710
Hf7 0.649 0.542 0.290
Hf8 0.649 0.958 0.790
Hf9 0.694 0.138 0.047
Hf10 0.694 0.362 0.547
Hf11 0.946 0.739 0.057
Hf12 0.946 0.761 0.557
Pb1 0.127 0.106 0.722
Pb2 0.127 0.394 0.222
Pb3 0.500 0.000 0.500
Pb4 0.500 0.500 0.000
Pb5 0.873 0.606 0.778
Pb6 0.873 0.894 0.278
C1 0.000 0.000 0.000
C2 0.000 0.500 0.500

* ΔH_f (0 K): -0.072 eV/atom
* crystal system: monoclinic
* SG: P2_1/c, No. 14

# 2
Computed, not measured: Mg5AgGe2Pd2 after structural relaxation at the PBE level of DFT.

Cell: 11.259 11.259 3.025 Å, 90.00 90.00 90.00°
Fractional coordinates of all 20 atoms:
Mg1 0.000 0.500 0.000
Mg2 0.006 0.215 0.000
Mg3 0.215 0.994 0.000
Mg4 0.285 0.494 0.000
Mg5 0.494 0.715 0.000
Mg6 0.500 0.000 0.000
Mg7 0.506 0.285 0.000
Mg8 0.715 0.506 0.000
Mg9 0.785 0.006 0.000
Mg10 0.994 0.785 0.000
Ag1 0.000 0.000 0.500
Ag2 0.500 0.500 0.500
Ge1 0.197 0.697 0.500
Ge2 0.303 0.197 0.500
Ge3 0.697 0.803 0.500
Ge4 0.803 0.303 0.500
Pd1 0.143 0.357 0.500
Pd2 0.357 0.857 0.500
Pd3 0.643 0.143 0.500
Pd4 0.857 0.643 0.500

* ΔH_f (0 K): -0.281 eV/atom
* crystal system: tetragonal
* SG: P4/mbm, No. 127

| no. | total magnetization (μB/atom) | raw total energy (eV for the cell shown) |
| --- | --- | --- |
| 1 | 0.000 | -161.58 |
| 2 | 0.000 | -66.52 |